Ba3TiNb PBE optimized geometry; ΔE_f = 1.609 eV per atom; space group = Pm-3m; size of the total moment = 0.55 μB/atom; Fermi-level density of states = 15.6 states/eV/cell
1.0
5.991 0.000 0.000
0.000 5.991 0.000
0.000 0.000 5.991
Ba Ti Nb
3 1 1
Direct
0.000 0.000 0.500
0.000 0.500 0.000
0.500 0.000 0.000
0.000 0.000 0.000
0.500 0.500 0.500

=====

K8Na2Tl PBE optimized geometry; ΔE_f = 0.028 eV per atom; space group = C2/m; size of the total moment = 0.00 μB/atom; Fermi-level density of states = 8.4 states/eV/cell
1.0
5.744 -7.659 0.000
5.744 7.659 0.000
-2.208 0.000 7.283
K Na Tl
8 2 1
Direct
0.171 0.447 0.362
0.240 0.760 0.000
0.289 0.289 0.863
0.447 0.171 0.362
0.553 0.829 0.638
0.711 0.711 0.137
0.760 0.240 0.000
0.829 0.553 0.638
0.113 0.887 0.500
0.887 0.113 0.500
0.000 0.000 0.000